DFT (PBE) results for a relaxed Mn2CuCN crystal.

Cell lengths 3.9092, 3.9092, 3.7014 Å; angles 90.00, 90.00, 90.00 degrees
Sites, in units of the cell vectors:
Mn 0.0000 0.5000 0.0000
Mn 0.5000 0.0000 0.0000
Cu 0.0000 0.0000 0.5000
C 0.0000 0.0000 0.0000
N 0.5000 0.5000 0.5000

## Properties
Formation energy from raw total energies (meV/atom): 879
DOS at the Fermi energy (states/eV/cell): 3.2
Total magnetic moment (Bohr magnetons per cell): 6.27

DFT (PBE) results for a relaxed Mn2CuNiC crystal.

Cell lengths 3.8490, 3.8490, 3.7578 Å; angles 90.00, 90.00, 90.00 degrees
Sites, in units of the cell vectors:
Mn 0.0000 0.5000 0.0000
Mn 0.5000 0.0000 0.0000
Cu 0.0000 0.0000 0.5000
Ni 0.5000 0.5000 0.5000
C 0.5000 0.5000 0.0000

## Properties
DOS at the Fermi energy (states/eV/cell): 3.4
Total magnetic moment (Bohr magnetons per cell): 5.22
Calculated formation energy (meV per atom): 84
Polymorph energy (0 for the lowest one) (kcal/mol of atoms): 0.000

DFT (PBE) results for a relaxed MnCuNi2C crystal.

Cell lengths 3.7718, 3.7718, 3.8066 Å; angles 90.00, 90.00, 90.00 degrees
Sites, in units of the cell vectors:
Mn 0.0000 0.0000 0.0000
Cu 0.5000 0.5000 0.0000
Ni 0.0000 0.5000 0.5000
Ni 0.5000 0.0000 0.5000
C 0.0000 0.0000 0.5000

## Properties
DOS at the Fermi energy (states/eV/cell): 4.2
Total magnetic moment (Bohr magnetons per cell): 2.48
Calculated formation energy (meV per atom): 100

DFT (PBE) results for a relaxed Mn2CuNiC crystal.

Cell lengths 4.6557, 4.6557, 3.4646 Å; angles 90.00, 90.00, 90.00 degrees
Sites, in units of the cell vectors:
Mn 0.0000 0.5000 0.0000
Mn 0.5000 0.0000 0.0000
Cu 0.0000 0.0000 0.0000
Ni 0.5000 0.5000 0.5000
C 0.0000 0.0000 0.5000

## Properties
DOS at the Fermi energy (states/eV/cell): 2.3
Total magnetic moment (Bohr magnetons per cell): 9.02
Calculated formation energy (meV per atom): 1305
Polymorph energy (0 for the lowest one) (kcal/mol of atoms): 28.146

DFT (PBE) results for a relaxed PmMnCuC crystal.

Cell lengths 3.3981, 3.3981, 10.3154 Å; angles 90.00, 90.00, 90.00 degrees
Sites, in units of the cell vectors:
Pm 0.2500 0.2500 0.2460
Pm 0.7500 0.7500 0.7540
Mn 0.2500 0.7500 0.0000
Mn 0.7500 0.2500 0.0000
Cu 0.2500 0.7500 0.5000
Cu 0.7500 0.2500 0.5000
C 0.2500 0.2500 0.8926
C 0.7500 0.7500 0.1074

## Properties
DOS at the Fermi energy (states/eV/cell): 4.7
Total magnetic moment (Bohr magnetons per cell): 2.05
Calculated formation energy (meV per atom): -110

DFT (PBE) results for a relaxed Mn2CuRuC crystal.

Cell lengths 3.9263, 3.9263, 3.9735 Å; angles 90.00, 90.00, 90.00 degrees
Sites, in units of the cell vectors:
Mn 0.0000 0.5000 0.0000
Mn 0.5000 0.0000 0.0000
Cu 0.0000 0.0000 0.5000
Ru 0.5000 0.5000 0.5000
C 0.5000 0.5000 0.0000

## Properties
DOS at the Fermi energy (states/eV/cell): 3.8
Total magnetic moment (Bohr magnetons per cell): 6.60
Calculated formation energy (meV per atom): 146

DFT (PBE) results for a relaxed Sc2MnCuC crystal.

Cell lengths 4.5271, 4.5271, 3.7328 Å; angles 90.00, 90.00, 90.00 degrees
Sites, in units of the cell vectors:
Sc 0.0000 0.5000 0.0000
Sc 0.5000 0.0000 0.0000
Mn 0.0000 0.0000 0.5000
Cu 0.5000 0.5000 0.5000
C 0.0000 0.0000 0.0000

## Properties
DOS at the Fermi energy (states/eV/cell): 3.8
Total magnetic moment (Bohr magnetons per cell): 1.73
Calculated formation energy (meV per atom): -273

DFT (PBE) results for a relaxed ScMnCuC crystal.

Cell lengths 3.2995, 3.2995, 9.4139 Å; angles 90.00, 90.00, 90.00 degrees
Sites, in units of the cell vectors:
Sc 0.2500 0.2500 0.2445
Sc 0.7500 0.7500 0.7555
Mn 0.2500 0.7500 0.0000
Mn 0.7500 0.2500 0.0000
Cu 0.2500 0.7500 0.5000
Cu 0.7500 0.2500 0.5000
C 0.2500 0.2500 0.8737
C 0.7500 0.7500 0.1263

## Properties
DOS at the Fermi energy (states/eV/cell): 5.5
Total magnetic moment (Bohr magnetons per cell): 1.80
Calculated formation energy (meV per atom): -107

DFT (PBE) results for a relaxed SmMnCuC crystal.

Cell lengths 3.3891, 3.3891, 10.2601 Å; angles 90.00, 90.00, 90.00 degrees
Sites, in units of the cell vectors:
Sm 0.2500 0.2500 0.2460
Sm 0.7500 0.7500 0.7540
Mn 0.2500 0.7500 0.0000
Mn 0.7500 0.2500 0.0000
Cu 0.2500 0.7500 0.5000
Cu 0.7500 0.2500 0.5000
C 0.2500 0.2500 0.8908
C 0.7500 0.7500 0.1092

## Properties
DOS at the Fermi energy (states/eV/cell): 4.8
Total magnetic moment (Bohr magnetons per cell): 2.06
Calculated formation energy (meV per atom): -115

DFT (PBE) results for a relaxed Mn2CuSnC crystal.

Cell lengths 3.9196, 3.9196, 4.0721 Å; angles 90.00, 90.00, 90.00 degrees
Sites, in units of the cell vectors:
Mn 0.0000 0.5000 0.0000
Mn 0.5000 0.0000 0.0000
Cu 0.0000 0.0000 0.5000
Sn 0.5000 0.5000 0.5000
C 0.0000 0.0000 0.0000

## Properties
DOS at the Fermi energy (states/eV/cell): 3.2
Total magnetic moment (Bohr magnetons per cell): 3.60
Calculated formation energy (meV per atom): 154

DFT (PBE) results for a relaxed MnCuWC2 crystal.

Cell lengths 3.6755, 3.6755, 4.7830 Å; angles 90.00, 90.00, 90.00 degrees
Sites, in units of the cell vectors:
Mn 0.0000 0.0000 0.0000
Cu 0.5000 0.5000 0.5000
W 0.0000 0.0000 0.5000
C 0.0000 0.5000 0.0000
C 0.5000 0.0000 0.0000

## Properties
DOS at the Fermi energy (states/eV/cell): 4.1
Total magnetic moment (Bohr magnetons per cell): 0.00
Calculated formation energy (meV per atom): 1730

DFT (PBE) results for a relaxed YMn2CuC crystal.

Cell lengths 5.3317, 5.3317, 4.9779 Å; angles 90.00, 90.00, 90.00 degrees
Sites, in units of the cell vectors:
Y 0.0000 0.0000 0.0000
Mn 0.0000 0.5000 0.0000
Mn 0.5000 0.0000 0.0000
Cu 0.0000 0.0000 0.5000
C 0.5000 0.5000 0.5000

## Properties
DOS at the Fermi energy (states/eV/cell): 3.9
Total magnetic moment (Bohr magnetons per cell): 6.31
Calculated formation energy (meV per atom): 2806

DFT (PBE) results for a relaxed ZrMn2CuC crystal.

Cell lengths 3.8412, 3.8412, 4.4692 Å; angles 90.00, 90.00, 90.00 degrees
Sites, in units of the cell vectors:
Zr 0.0000 0.0000 0.0000
Mn 0.0000 0.5000 0.5000
Mn 0.5000 0.0000 0.5000
Cu 0.5000 0.5000 0.0000
C 0.0000 0.0000 0.5000

## Properties
DOS at the Fermi energy (states/eV/cell): 2.2
Total magnetic moment (Bohr magnetons per cell): 2.87
Calculated formation energy (meV per atom): -29

DFT (PBE) results for a relaxed CuMoC crystal.

Cell lengths 6.2558, 6.2558, 6.2558 Å; angles 34.57, 34.57, 34.57 degrees
Sites, in units of the cell vectors:
Cu 0.1502 0.1502 0.1502
Cu 0.8498 0.8498 0.8498
Mo 0.3883 0.3883 0.3883
Mo 0.6117 0.6117 0.6117
C 0.2688 0.2688 0.2688
C 0.7312 0.7312 0.7312

## Properties
DOS at the Fermi energy (states/eV/cell): 0.7
Total magnetic moment (Bohr magnetons per cell): 0.00
Calculated formation energy (meV per atom): 404

DFT (PBE) results for a relaxed Cu2Mo2C crystal.

Cell lengths 7.2559, 7.2559, 7.2559 Å; angles 155.75, 155.75, 34.56 degrees
Sites, in units of the cell vectors:
Cu 0.2500 0.7500 0.5000
Cu 0.7500 0.2500 0.5000
Mo 0.0856 0.0856 0.0000
Mo 0.9144 0.9144 0.0000
C 0.5000 0.5000 0.0000

## Properties
DOS at the Fermi energy (states/eV/cell): 2.1
Total magnetic moment (Bohr magnetons per cell): 0.00
Calculated formation energy (meV per atom): 870
Polymorph energy (0 for the lowest one) (kcal/mol of atoms): 11.593

DFT (PBE) results for a relaxed Cu3MoC crystal.

Cell lengths 3.8979, 3.8979, 3.8979 Å; angles 90.00, 90.00, 90.00 degrees
Sites, in units of the cell vectors:
Cu 0.0000 0.0000 0.5000
Cu 0.0000 0.5000 0.0000
Cu 0.5000 0.0000 0.0000
Mo 0.5000 0.5000 0.5000
C 0.0000 0.0000 0.0000

## Properties
DOS at the Fermi energy (states/eV/cell): 3.4
Total magnetic moment (Bohr magnetons per cell): 0.00
Calculated formation energy (meV per atom): 811
Polymorph energy (0 for the lowest one) (kcal/mol of atoms): 0.000

DFT (PBE) results for a relaxed CuMo2C2 crystal.

Cell lengths 4.5670, 4.5670, 4.5670 Å; angles 125.30, 125.30, 81.04 degrees
Sites, in units of the cell vectors:
Cu 0.0000 0.0000 0.0000
Mo 0.2500 0.7500 0.5000
Mo 0.7500 0.2500 0.5000
C 0.2889 0.2889 0.0000
C 0.7111 0.7111 0.0000

## Properties
DOS at the Fermi energy (states/eV/cell): 3.1
Total magnetic moment (Bohr magnetons per cell): 0.00
Calculated formation energy (meV per atom): 472
Polymorph energy (0 for the lowest one) (kcal/mol of atoms): 1.540

DFT (PBE) results for a relaxed Cu2Mo2C crystal.

Cell lengths 5.5431, 5.5431, 4.4185 Å; angles 90.00, 90.00, 90.00 degrees
Sites, in units of the cell vectors:
Cu 0.1537 0.3463 0.0000
Cu 0.3463 0.8463 0.0000
Cu 0.6537 0.1537 0.0000
Cu 0.8463 0.6537 0.0000
Mo 0.1640 0.6640 0.5000
Mo 0.3360 0.1640 0.5000
Mo 0.6640 0.8360 0.5000
Mo 0.8360 0.3360 0.5000
C 0.0000 0.0000 0.5000
C 0.5000 0.5000 0.5000

## Properties
DOS at the Fermi energy (states/eV/cell): 4.1
Total magnetic moment (Bohr magnetons per cell): 0.00
Calculated formation energy (meV per atom): 367
Polymorph energy (0 for the lowest one) (kcal/mol of atoms): 0.000

DFT (PBE) results for a relaxed CuMo2C2 crystal.

Cell lengths 6.3021, 6.3021, 2.8059 Å; angles 90.00, 90.00, 90.00 degrees
Sites, in units of the cell vectors:
Cu 0.0000 0.0000 0.0000
Cu 0.5000 0.5000 0.0000
Mo 0.1443 0.3557 0.0000
Mo 0.3557 0.8557 0.0000
Mo 0.6443 0.1443 0.0000
Mo 0.8557 0.6443 0.0000
C 0.1412 0.6412 0.5000
C 0.3588 0.1412 0.5000
C 0.6412 0.8588 0.5000
C 0.8588 0.3588 0.5000

## Properties
DOS at the Fermi energy (states/eV/cell): 7.1
Total magnetic moment (Bohr magnetons per cell): 0.00
Calculated formation energy (meV per atom): 770
Polymorph energy (0 for the lowest one) (kcal/mol of atoms): 8.419

DFT (PBE) results for a relaxed Cu3MoC crystal.

Cell lengths 4.6711, 4.6711, 4.6711 Å; angles 90.00, 90.00, 90.00 degrees
Sites, in units of the cell vectors:
Cu 0.0000 0.0000 0.5000
Cu 0.0000 0.5000 0.0000
Cu 0.5000 0.0000 0.0000
Mo 0.0000 0.0000 0.0000
C 0.5000 0.5000 0.5000

## Properties
DOS at the Fermi energy (states/eV/cell): 5.4
Total magnetic moment (Bohr magnetons per cell): 1.47
Calculated formation energy (meV per atom): 2841
Polymorph energy (0 for the lowest one) (kcal/mol of atoms): 46.820

DFT (PBE) results for a relaxed CuMo2C2 crystal.

Cell lengths 4.9238, 4.9238, 4.9238 Å; angles 133.72, 133.72, 67.52 degrees
Sites, in units of the cell vectors:
Cu 0.0000 0.0000 0.0000
Mo 0.3440 0.3440 0.0000
Mo 0.6560 0.6560 0.0000
C 0.2500 0.7500 0.5000
C 0.7500 0.2500 0.5000

## Properties
DOS at the Fermi energy (states/eV/cell): 3.5
Total magnetic moment (Bohr magnetons per cell): 0.00
Calculated formation energy (meV per atom): 700
Polymorph energy (0 for the lowest one) (kcal/mol of atoms): 6.810

DFT (PBE) results for a relaxed CuMo2C2 crystal.

Cell lengths 6.0330, 6.0330, 2.8665 Å; angles 90.00, 90.00, 90.00 degrees
Sites, in units of the cell vectors:
Cu 0.0000 0.0000 0.0000
Cu 0.5000 0.5000 0.0000
Mo 0.1494 0.3506 0.5000
Mo 0.3506 0.8506 0.5000
Mo 0.6494 0.1494 0.5000
Mo 0.8506 0.6494 0.5000
C 0.1457 0.6457 0.0000
C 0.3543 0.1457 0.0000
C 0.6457 0.8543 0.0000
C 0.8543 0.3543 0.0000

## Properties
DOS at the Fermi energy (states/eV/cell): 5.5
Total magnetic moment (Bohr magnetons per cell): 0.00
Calculated formation energy (meV per atom): 405
Polymorph energy (0 for the lowest one) (kcal/mol of atoms): 0.000

DFT (PBE) results for a relaxed CuMoPC2 crystal.

Cell lengths 3.6438, 3.6438, 4.3329 Å; angles 90.00, 90.00, 90.00 degrees
Sites, in units of the cell vectors:
Cu 0.0000 0.0000 0.0000
Mo 0.5000 0.5000 0.0000
P 0.0000 0.0000 0.5000
C 0.0000 0.5000 0.5000
C 0.5000 0.0000 0.5000

## Properties
DOS at the Fermi energy (states/eV/cell): 5.2
Total magnetic moment (Bohr magnetons per cell): 0.00
Calculated formation energy (meV per atom): 1904

DFT (PBE) results for a relaxed CuReMo2C crystal.

Cell lengths 4.7009, 4.7009, 4.6117 Å; angles 90.00, 90.00, 90.00 degrees
Sites, in units of the cell vectors:
Cu 0.0000 0.0000 0.0000
Re 0.0000 0.0000 0.5000
Mo 0.0000 0.5000 0.5000
Mo 0.5000 0.0000 0.5000
C 0.5000 0.5000 0.0000

## Properties
DOS at the Fermi energy (states/eV/cell): 5.9
Total magnetic moment (Bohr magnetons per cell): 0.00
Calculated formation energy (meV per atom): 2826

DFT (PBE) results for a relaxed CuMo2RuC crystal.

Cell lengths 4.7128, 4.7128, 3.3407 Å; angles 90.00, 90.00, 90.00 degrees
Sites, in units of the cell vectors:
Cu 0.0000 0.0000 0.0000
Mo 0.0000 0.5000 0.0000
Mo 0.5000 0.0000 0.0000
Ru 0.5000 0.5000 0.5000
C 0.0000 0.0000 0.5000

## Properties
DOS at the Fermi energy (states/eV/cell): 6.6
Total magnetic moment (Bohr magnetons per cell): 0.65
Calculated formation energy (meV per atom): 1750

DFT (PBE) results for a relaxed TaCuMo2C crystal.

Cell lengths 4.4605, 4.4605, 4.5878 Å; angles 90.00, 90.00, 90.00 degrees
Sites, in units of the cell vectors:
Ta 0.0000 0.0000 0.0000
Cu 0.0000 0.0000 0.5000
Mo 0.0000 0.5000 0.5000
Mo 0.5000 0.0000 0.5000
C 0.5000 0.5000 0.0000

## Properties
DOS at the Fermi energy (states/eV/cell): 4.4
Total magnetic moment (Bohr magnetons per cell): 0.00
Calculated formation energy (meV per atom): 2637

DFT (PBE) results for a relaxed CuTe2MoC crystal.

Cell lengths 5.2998, 5.2998, 3.5630 Å; angles 90.00, 90.00, 90.00 degrees
Sites, in units of the cell vectors:
Cu 0.0000 0.0000 0.0000
Te 0.0000 0.5000 0.0000
Te 0.5000 0.0000 0.0000
Mo 0.5000 0.5000 0.5000
C 0.0000 0.0000 0.5000

## Properties
Formation energy from raw total energies (meV/atom): 1300
DOS at the Fermi energy (states/eV/cell): 2.9
Total magnetic moment (Bohr magnetons per cell): 2.99